VASP calculation (GGA-PBE) on crystalline Ca4Pd3Rh at its relaxed geometry.

crystal system	tetragonal
ΔH_f (0 K)	-0.578	eV per atom
total magnetic moment	0.0	Bohr magnetons per cell

Lattice parameters (Å, degrees): 5.026 6.778 10.050 90.00 90.00 90.00
Element x y z (fractional)
Rh1 0.000 0.500 0.500
Rh2 0.000 0.500 0.000
Ca1 0.000 0.747 0.750
Ca2 0.000 0.253 0.750
Pd1 0.000 0.000 0.000
Ca3 0.500 0.747 0.000
Ca4 0.500 0.253 0.500
Pd2 0.500 0.000 0.250
Pd3 0.500 0.000 0.750
Ca5 0.500 0.747 0.500
Pd4 0.000 0.000 0.500
Ca6 0.000 0.253 0.250
Ca7 0.500 0.253 0.000
Ca8 0.000 0.747 0.250
Pd5 0.500 0.500 0.750
Pd6 0.500 0.500 0.250